Record 1
Compound: SrTiSiBr2
Source: Alexandria via LeMat-Bulk
Functional: GGA-PBE
Structure: optimized geometry

extended XYZ file:
```
5
Lattice="5.359 0.000 0.000 0.000 5.359 0.000 0.000 0.000 6.125" Properties=species:S:1:pos:R:3 pbc="T T T"
Sr 0.000 0.000 0.000
Ti 2.680 2.680 0.000
Si 0.000 0.000 3.062
Br 0.000 2.680 3.062
Br 2.680 0.000 3.062
```

- raw formation energy (meV per atom) = 483
- magnetization (μB per cell) = 3.13
- symmetry = P4/mmm, No. 123



Record 2
Compound: SrYP2
Source: Alexandria via LeMat-Bulk
Functional: GGA-PBE
Structure: optimized geometry

extended XYZ file:
```
4
Lattice="-1.821 1.903 7.521 1.821 -1.903 7.521 1.821 1.903 -7.521" Properties=species:S:1:pos:R:3 pbc="T T T"
Sr 0.000 0.000 0.000
Y 1.821 0.000 3.814
P 0.000 0.000 9.184
P 0.000 1.903 4.992
```

- energy relative to the elements (meV/atom) = -949
- magnetization (μB per cell) = 0.00
- symmetry = Imm2, No. 44



Record 3
Compound: TbMgNi10
Source: Alexandria via LeMat-Bulk
Functional: GGA-PBE
Structure: optimized geometry

extended XYZ file:
```
12
Lattice="3.981 0.000 0.000 0.000 4.800 0.000 0.000 0.000 8.311" Properties=species:S:1:pos:R:3 pbc="T T T"
Tb 0.000 0.000 0.000
Mg 0.000 2.400 4.155
Ni 0.000 0.000 2.831
Ni 0.000 0.000 5.480
Ni 0.000 2.400 1.471
Ni 0.000 2.400 6.840
Ni 1.990 0.000 4.155
Ni 1.990 1.203 2.101
Ni 1.990 1.203 6.210
Ni 1.990 2.400 0.000
Ni 1.990 3.597 2.101
Ni 1.990 3.597 6.210
```

- energy relative to the elements (meV/atom) = -169
- magnetization (μB per cell) = 3.42
- symmetry = Pmmm, No. 47



Record 4
Compound: BaLa2TlOs
Source: Alexandria via LeMat-Bulk
Functional: GGA-PBE
Structure: optimized geometry

extended XYZ file:
```
5
Lattice="5.537 0.000 0.000 0.000 5.537 0.000 0.000 0.000 6.144" Properties=species:S:1:pos:R:3 pbc="T T T"
Ba 0.000 0.000 0.000
La 0.000 2.769 3.072
La 2.769 0.000 3.072
Tl 2.769 2.769 0.000
Os 0.000 0.000 3.072
```

- energy relative to the elements (meV/atom) = -17
- magnetization (μB per cell) = 0.00
- symmetry = P4/mmm, No. 123



Record 5
Compound: Np2GePRh6
Source: Alexandria via LeMat-Bulk
Functional: GGA-PBE
Structure: optimized geometry

extended XYZ file:
```
20
Lattice="5.559 0.000 0.000 0.000 8.514 0.000 0.000 0.000 7.675" Properties=species:S:1:pos:R:3 pbc="T T T"
Np 1.390 0.120 1.769
Np 1.390 4.137 1.769
Np 4.169 4.377 5.906
Np 4.169 8.394 5.906
Ge 1.390 6.385 5.986
Ge 4.169 2.128 1.689
P 1.390 2.128 5.620
P 4.169 6.385 2.055
Rh 0.017 6.385 3.877
Rh 0.032 6.385 0.324
Rh 1.390 0.000 4.694
Rh 1.390 4.257 4.694
Rh 2.748 6.385 0.324
Rh 2.762 6.385 3.877
Rh 2.797 2.128 3.798
Rh 2.811 2.128 7.352
Rh 4.169 8.514 2.981
Rh 4.169 4.257 2.981
Rh 5.527 2.128 7.352
Rh 5.542 2.128 3.798
```

- energy relative to the elements (meV/atom) = -378
- magnetization (μB per cell) = 12.67
- symmetry = Pmmn, No. 59



Record 6
Compound: Ac12Co5Bi3
Source: Alexandria via LeMat-Bulk
Functional: GGA-PBE
Structure: optimized geometry

extended XYZ file:
```
80
Lattice="-9.079 9.079 9.079 9.079 -9.079 9.079 9.079 9.079 -9.079" Properties=species:S:1:pos:R:3 pbc="T T T"
Ac 2.684 -0.582 0.932
Ac 10.934 5.472 -5.121
Ac 11.763 0.582 0.932
Ac 10.934 -3.607 5.121
Ac 8.497 -0.932 2.684
Ac 14.200 -1.855 3.607
Ac 0.932 2.684 -0.582
Ac 12.686 3.958 -1.855
Ac 5.472 5.121 -1.855
Ac 8.147 2.684 0.582
Ac -0.582 0.932 2.684
Ac 5.121 -1.855 5.472
Ac 8.497 8.147 -2.684
Ac 5.121 1.855 3.607
Ac 5.472 -5.121 10.934
Ac 8.147 -2.684 8.497
Ac 3.607 5.121 1.855
Ac 10.011 6.395 0.582
Ac 5.121 10.934 -3.607
Ac 8.497 0.932 6.395
Ac 2.684 8.497 -0.932
Ac 10.934 3.607 3.958
Ac 1.855 3.607 5.121
Ac 2.684 0.582 8.147
Ac 6.395 8.497 0.932
Ac 7.224 5.472 3.958
Ac -1.855 5.472 5.121
Ac 6.395 0.582 10.011
Ac 0.582 8.147 2.684
Ac 3.958 -1.855 12.686
Ac -0.932 2.684 8.497
Ac 5.472 3.958 7.224
Ac 0.932 11.763 0.582
Ac 3.607 14.200 -1.855
Ac 3.958 7.224 5.472
Ac 0.582 0.932 11.763
Ac 3.958 10.934 3.607
Ac 9.661 8.147 6.395
Ac 0.932 6.395 8.497
Ac 3.607 3.958 10.934
Ac -3.607 5.121 10.934
Ac 8.147 6.395 9.661
Ac -5.121 10.934 5.472
Ac 0.582 10.011 6.395
Ac -1.855 12.686 3.958
Ac -2.684 8.497 8.147
Ac -1.855 3.607 14.200
Ac 6.395 9.661 8.147
Co 0.000 0.000 0.000
Co 4.539 4.539 -4.539
Co 4.539 -4.539 4.539
Co 9.079 0.000 0.000
Co 13.618 2.270 0.000
Co 9.079 -4.539 6.809
Co 6.809 9.079 -4.539
Co 6.809 0.000 4.539
Co 4.539 6.809 0.000
Co 9.079 4.539 2.270
Co -4.539 4.539 4.539
Co 0.000 9.079 0.000
Co 0.000 0.000 9.079
Co 4.539 4.539 4.539
Co 0.000 4.539 6.809
Co 4.539 2.270 9.079
Co 2.270 9.079 4.539
Co 2.270 0.000 13.618
Co 0.000 13.618 2.270
Co -4.539 6.809 9.079
Bi 4.539 2.270 0.000
Bi 9.079 4.539 -2.270
Bi 2.270 0.000 4.539
Bi 11.349 0.000 4.539
Bi 0.000 4.539 2.270
Bi 4.539 -2.270 9.079
Bi 4.539 11.349 0.000
Bi 9.079 4.539 6.809
Bi -2.270 9.079 4.539
Bi 6.809 9.079 4.539
Bi 0.000 4.539 11.349
Bi 4.539 6.809 9.079
```

- energy relative to the elements (meV/atom) = -123
- magnetization (μB per cell) = 0.00
- symmetry = Ia-3d, No. 230



Record 7
Compound: Sm3YTh2Sb6
Source: Alexandria via LeMat-Bulk
Functional: GGA-PBE
Structure: optimized geometry

extended XYZ file:
```
12
Lattice="9.748 -2.239 0.000 9.748 2.239 0.000 -2.062 0.000 8.695" Properties=species:S:1:pos:R:3 pbc="T T T"
Sm 0.000 0.000 0.000
Sm 5.119 0.000 5.789
Sm 12.316 0.000 2.906
Y -1.031 0.000 4.348
Th 6.185 0.000 1.471
Th 11.249 0.000 7.224
Sb 2.021 0.000 5.047
Sb 3.074 0.000 0.736
Sb 8.186 0.000 6.487
Sb 9.249 0.000 2.208
Sb 14.360 0.000 7.959
Sb 15.413 0.000 3.648
```

- raw formation energy (meV per atom) = -1097
- magnetization (μB per cell) = 0.00
- symmetry = C2/m, No. 12



Record 8
Compound: CeTlZnPd
Source: Alexandria via LeMat-Bulk
Functional: GGA-PBE
Structure: optimized geometry

extended XYZ file:
```
4
Lattice="0.000 3.488 3.488 3.488 0.000 3.488 3.488 3.488 0.000" Properties=species:S:1:pos:R:3 pbc="T T T"
Ce 0.000 0.000 0.000
Tl 3.488 3.488 3.488
Zn 5.232 5.232 5.232
Pd 1.744 1.744 1.744
```

- energy relative to the elements (meV/atom) = -386
- magnetization (μB per cell) = 0.53
- symmetry = F-43m, No. 216



Record 9
Compound: Cu2P
Source: Alexandria via LeMat-Bulk
Functional: GGA-PBE
Structure: optimized geometry

extended XYZ file:
```
3
Lattice="3.784 0.000 0.000 0.000 3.784 0.000 0.000 0.000 3.008" Properties=species:S:1:pos:R:3 pbc="T T T"
Cu 0.000 1.892 0.000
Cu 1.892 0.000 0.000
P 0.000 0.000 1.504
```

- energy relative to the elements (meV/atom) = 95
- magnetization (μB per cell) = 0.00
- symmetry = P4/mmm, No. 123



Record 10
Compound: AcDyP2Pd2
Source: Alexandria via LeMat-Bulk
Functional: GGA-PBE
Structure: optimized geometry

extended XYZ file:
```
6
Lattice="4.276 0.000 0.000 -2.138 3.703 0.000 0.000 0.000 7.869" Properties=species:S:1:pos:R:3 pbc="T T T"
Ac 0.000 0.000 0.000
Dy 0.000 0.000 3.934
P 0.000 2.469 2.134
P 2.138 1.234 5.734
Pd 0.000 2.469 5.721
Pd 2.138 1.234 2.148
```

- energy relative to the elements (meV/atom) = -1238
- magnetization (μB per cell) = 0.00
- symmetry = P-3m1, No. 164



Record 11
Compound: Ta2AlCd
Source: Alexandria via LeMat-Bulk
Functional: GGA-PBE
Structure: optimized geometry

extended XYZ file:
```
4
Lattice="2.843 -4.442 0.000 2.843 4.442 0.000 -0.089 0.000 2.848" Properties=species:S:1:pos:R:3 pbc="T T T"
Ta 1.422 2.221 0.000
Ta 1.422 -2.221 0.000
Al -0.044 0.000 1.424
Cd 2.799 0.000 1.424
```

- energy relative to the elements (meV/atom) = 76
- magnetization (μB per cell) = 0.00
- symmetry = C2/m, No. 12